Computed, not measured: LiCrF2 after structural relaxation at the PBE with a Hubbard U level of DFT.

Cell lengths 6.3389, 6.3389, 6.3389 Å; angles 28.15, 28.15, 28.15 degrees
Closest atoms and distances in Å follow each position.
Fractional coordinates of all 4 atoms:
Li 0.0000 0.0000 0.0000  6 F 2.08
Cr 0.5000 0.5000 0.5000  2 F 1.96
F 0.3924 0.3924 0.3924  1 Cr 1.96, 3 Li 2.08
F 0.6076 0.6076 0.6076  1 Cr 1.96, 3 Li 2.08

Properties
polymorph energy (0 for the lowest one)	0.0	kJ/mol of formula units
crystal system	trigonal
magnetic moment	4.2	μB/f.u.
space group	R-3m